Entry 1:
Computed, not measured: a relaxed Pr3Tm5Tl2 crystal at the PBE-GGA level of DFT.

Values from the calculation:
The final energy comes out at -4.07 eV/atom. The calculation puts the formation energy at 0.07 eV/atom.

abc: 6.4505 10.5933 10.5933
angles: 93.79 72.27 72.27
Element x y z (fractional)
Tl (0.8601, 0.2864, 0.9933)
Tl (0.3601, 0.9933, 0.2864)
Tl (0.6399, 0.0067, 0.7136)
Tl (0.1399, 0.7136, 0.0067)
Pr (0.7500, 0.0000, 0.0000)
Pr (0.8792, 0.8830, 0.3586)
Pr (0.2500, 0.0000, 0.0000)
Pr (0.6208, 0.6414, 0.1170)
Pr (0.3792, 0.3586, 0.8830)
Pr (0.1208, 0.1170, 0.6414)
Tm (0.3836, 0.7796, 0.4532)
Tm (0.5059, 0.7441, 0.7441)
Tm (0.1164, 0.5468, 0.2204)
Tm (0.7500, 0.5000, 0.5000)
Tm (0.2500, 0.5000, 0.5000)
Tm (0.6164, 0.2204, 0.5468)
Tm (0.0059, 0.7441, 0.7441)
Tm (0.4941, 0.2559, 0.2559)
Tm (0.9941, 0.2559, 0.2559)
Tm (0.8836, 0.4532, 0.7796)

***

Entry 2:
Computed, not measured: a relaxed Pr2Tm2Tl crystal at the PBE-GGA level of DFT.

Values from the calculation:
The final energy comes out at -4.17 eV/atom. The calculation puts the formation energy at 0.00 eV/atom. As for the excess energy over the best structure of this formula in the dataset: 0.51 eV/f.u.

abc: 5.4829 5.4829 12.2075
angles: 90.00 90.00 120.00
Element x y z (fractional)
Pr (0.6667, 0.3333, 0.0872)
Pr (0.3333, 0.6667, 0.9128)
Pr (0.3333, 0.6667, 0.5872)
Pr (0.6667, 0.3333, 0.4128)
Tm (0.6667, 0.3333, 0.7500)
Tm (0.0000, 0.0000, 0.0000)
Tm (0.3333, 0.6667, 0.2500)
Tm (0.0000, 0.0000, 0.5000)
Tl (0.0000, 0.0000, 0.7500)
Tl (0.0000, 0.0000, 0.2500)

***

Entry 3:
Computed, not measured: a relaxed Pr5TmTl6 crystal at the PBE-GGA level of DFT.

Values from the calculation:
The final energy comes out at -3.92 eV/atom. The calculation puts the formation energy at -0.37 eV/atom.

abc: 5.5326 9.5534 9.5672
angles: 60.05 73.16 54.52
Element x y z (fractional)
Tl (0.7588, 0.4029, 0.6764)
Tl (0.2666, 0.2340, 0.0000)
Tl (0.2412, 0.9207, 0.6764)
Tl (0.2412, 0.5971, 0.3236)
Tl (0.7334, 0.7660, 0.0000)
Tl (0.7588, 0.0793, 0.3236)
Pr (0.0000, 0.3360, 0.3281)
Pr (0.0000, 0.6640, 0.6719)
Pr (0.5000, 0.8268, 0.3464)
Pr (0.5000, 0.1732, 0.6536)
Pr (0.5000, 0.5000, 0.0000)
Tm (0.0000, 0.0000, 0.0000)

***

Entry 4:
Computed, not measured: a relaxed Pr2Tm4Tl crystal at the PBE-GGA level of DFT.

Values from the calculation:
The final energy comes out at -4.25 eV/atom. The calculation puts the formation energy at 0.01 eV/atom.

abc: 5.9028 6.6314 11.5439
angles: 90.00 106.05 90.00
Element x y z (fractional)
Tm (0.6285, 0.4918, 0.2878)
Tm (0.3715, 0.5082, 0.7122)
Tm (0.8605, 0.2500, 0.5685)
Tm (0.9922, 0.7500, 0.8683)
Tm (0.3715, 0.9918, 0.7122)
Tm (0.6285, 0.0082, 0.2878)
Tm (0.1395, 0.7500, 0.4315)
Tm (0.0078, 0.2500, 0.1317)
Pr (0.4196, 0.2500, 0.9764)
Pr (0.7295, 0.7500, 0.5695)
Pr (0.2705, 0.2500, 0.4305)
Pr (0.5804, 0.7500, 0.0236)
Tl (0.1456, 0.7500, 0.1618)
Tl (0.8544, 0.2500, 0.8382)

***

Entry 5:
Computed, not measured: a relaxed PrTmTl3 crystal at the PBE-GGA level of DFT.

Values from the calculation:
The final energy comes out at -3.42 eV/atom. The calculation puts the formation energy at -0.15 eV/atom.

abc: 6.5176 7.3684 7.3684
angles: 120.00 90.00 90.00
Element x y z (fractional)
Tl (0.2500, 0.8019, 0.1981)
Tl (0.7500, 0.1981, 0.8019)
Tl (0.2500, 0.8019, 0.6040)
Tl (0.7500, 0.6040, 0.8019)
Tl (0.7500, 0.1981, 0.3960)
Tl (0.2500, 0.3960, 0.1981)
Pr (0.2500, 0.3335, 0.6665)
Pr (0.7500, 0.6665, 0.3335)
Tm (0.5000, 0.0000, 0.0000)
Tm (0.0000, 0.0000, 0.0000)

***

Entry 6:
Computed, not measured: a relaxed Pr2Tm3Tl2 crystal at the PBE-GGA level of DFT.

Values from the calculation:
The final energy comes out at -4.12 eV/atom. The calculation puts the formation energy at -0.16 eV/atom.

abc: 4.6257 6.5067 8.3681
angles: 109.47 90.00 110.82
Element x y z (fractional)
Tl (0.1658, 0.3317, 0.2079)
Tl (0.8342, 0.6683, 0.7921)
Pr (0.1341, 0.2682, 0.7860)
Pr (0.8659, 0.7318, 0.2140)
Tm (0.5000, 0.0000, 0.0000)
Tm (0.3742, 0.7484, 0.5577)
Tm (0.6258, 0.2516, 0.4423)